Version i
# Sr2LaTa

A relaxed structure of Sr2LaTa (PBE, Alexandria via LeMat-Bulk).

```
data_Sr2LaTa
_cell_length_a 4.822
_cell_length_b 5.214
_cell_length_c 11.434
_cell_angle_alpha 90.00
_cell_angle_beta 90.00
_cell_angle_gamma 90.00
_symmetry_space_group_name_H-M 'C m m 2'
_symmetry_Int_Tables_number 35
loop_
_symmetry_equiv_pos_as_xyz
'x,y,z'
'-x,-y,z'
'-x,y,z'
'x,-y,z'
'x+1/2,y+1/2,z'
'-x+1/2,-y+1/2,z'
'-x+1/2,y+1/2,z'
'x+1/2,-y+1/2,z'
loop_
_atom_site_label
_atom_site_type_symbol
_atom_site_fract_x
_atom_site_fract_y
_atom_site_fract_z
Sr1 Sr 0.000 0.000 0.000
Sr2 Sr 0.000 0.500 0.311
La1 La 0.000 0.000 0.610
Ta1 Ta 0.000 0.500 0.789
```

Calculated values
* M_tot: 0.000 μB per atom


Version ii
# Sr2LaTa

A relaxed structure of Sr2LaTa (PBE, Alexandria via LeMat-Bulk).

```
data_Sr2LaTa
_cell_length_a 4.292
_cell_length_b 4.292
_cell_length_c 7.721
_cell_angle_alpha 90.00
_cell_angle_beta 90.00
_cell_angle_gamma 90.00
_symmetry_space_group_name_H-M 'P 4/m m m'
_symmetry_Int_Tables_number 123
_symmetry_space_group_name_Hall '-P 4 2'
loop_
_atom_site_label
_atom_site_type_symbol
_atom_site_fract_x
_atom_site_fract_y
_atom_site_fract_z
Sr1 Sr 0.000 0.000 0.217
La1 La 0.500 0.500 0.500
Ta1 Ta 0.500 0.500 0.000
```

Calculated values
* M_tot: 0.580 μB per atom


Version iii
# Sr2LaTa

A relaxed structure of Sr2LaTa (PBE, Alexandria via LeMat-Bulk).

```
data_Sr2LaTa
_cell_length_a 3.723
_cell_length_b 6.325
_cell_length_c 12.524
_cell_angle_alpha 90.00
_cell_angle_beta 90.00
_cell_angle_gamma 90.00
_symmetry_space_group_name_H-M 'I m m 2'
_symmetry_Int_Tables_number 44
loop_
_symmetry_equiv_pos_as_xyz
'x,y,z'
'-x,-y,z'
'-x,y,z'
'x,-y,z'
'x+1/2,y+1/2,z+1/2'
'-x+1/2,-y+1/2,z+1/2'
'-x+1/2,y+1/2,z+1/2'
'x+1/2,-y+1/2,z+1/2'
loop_
_atom_site_label
_atom_site_type_symbol
_atom_site_fract_x
_atom_site_fract_y
_atom_site_fract_z
Sr1 Sr 0.000 0.000 0.000
Sr2 Sr 0.000 0.500 0.202
La1 La 0.000 0.000 0.402
Ta1 Ta 0.000 0.500 0.724
```

Calculated values
* M_tot: 0.430 μB per atom


It comes down to version i, which is 105 meV per atom more stable than the next structure.


Version i
# Sr2LaTa

A relaxed structure of Sr2LaTa (PBE, Alexandria via LeMat-Bulk).

```
data_Sr2LaTa
_cell_length_a 3.549
_cell_length_b 4.920
_cell_length_c 18.473
_cell_angle_alpha 90.00
_cell_angle_beta 90.00
_cell_angle_gamma 90.00
_symmetry_space_group_name_H-M 'I m m m'
_symmetry_Int_Tables_number 71
_symmetry_space_group_name_Hall '-I 2 2'
loop_
_atom_site_label
_atom_site_type_symbol
_atom_site_fract_x
_atom_site_fract_y
_atom_site_fract_z
Sr1 Sr 0.000 0.000 0.163
La1 La 0.000 0.500 0.000
Ta1 Ta 0.000 0.500 0.500
```

Calculated values
* M_tot: 0.000 μB per atom


Version ii
# Sr2LaTa

A relaxed structure of Sr2LaTa (PBE, Alexandria via LeMat-Bulk).

```
data_Sr2LaTa
_cell_length_a 8.196
_cell_length_b 8.196
_cell_length_c 8.196
_cell_angle_alpha 90.00
_cell_angle_beta 90.00
_cell_angle_gamma 90.00
_symmetry_space_group_name_H-M 'F -4 3 m'
_symmetry_Int_Tables_number 216
_symmetry_space_group_name_Hall 'F -4 2 3'
loop_
_atom_site_label
_atom_site_type_symbol
_atom_site_fract_x
_atom_site_fract_y
_atom_site_fract_z
Sr1 Sr 0.000 0.000 0.000
Sr2 Sr 0.250 0.250 0.250
La1 La 0.000 0.000 0.500
Ta1 Ta 0.250 0.250 0.750
```

Calculated values
* M_tot: 0.820 μB per atom


It comes down to version i, which is 152 meV per atom more stable than the next structure.


Version i
# Sr2LaTa

A relaxed structure of Sr2LaTa (PBE, Alexandria via LeMat-Bulk).

```
data_Sr2LaTa
_cell_length_a 8.204
_cell_length_b 8.204
_cell_length_c 8.204
_cell_angle_alpha 90.00
_cell_angle_beta 90.00
_cell_angle_gamma 90.00
_symmetry_space_group_name_H-M 'F m -3 m'
_symmetry_Int_Tables_number 225
_symmetry_space_group_name_Hall '-F 4 2 3'
loop_
_atom_site_label
_atom_site_type_symbol
_atom_site_fract_x
_atom_site_fract_y
_atom_site_fract_z
Sr1 Sr 0.250 0.250 0.250
La1 La 0.000 0.000 0.000
Ta1 Ta 0.000 0.000 0.500
```

Calculated values
* M_tot: 0.612 μB per atom


Version ii
# Sr2LaTa

A relaxed structure of Sr2LaTa (PBE, Alexandria via LeMat-Bulk).

```
data_Sr2LaTa
_cell_length_a 4.906
_cell_length_b 4.906
_cell_length_c 5.594
_cell_angle_alpha 90.00
_cell_angle_beta 90.00
_cell_angle_gamma 90.00
_symmetry_space_group_name_H-M 'P 4/m m m'
_symmetry_Int_Tables_number 123
_symmetry_space_group_name_Hall '-P 4 2'
loop_
_atom_site_label
_atom_site_type_symbol
_atom_site_fract_x
_atom_site_fract_y
_atom_site_fract_z
Sr1 Sr 0.000 0.500 0.000
La1 La 0.000 0.000 0.500
Ta1 Ta 0.500 0.500 0.500
```

Calculated values
* M_tot: 0.333 μB per atom


Version iii
# Sr2LaTa

A relaxed structure of Sr2LaTa (PBE, Alexandria via LeMat-Bulk).

```
data_Sr2LaTa
_cell_length_a 3.951
_cell_length_b 3.951
_cell_length_c 9.408
_cell_angle_alpha 90.00
_cell_angle_beta 90.00
_cell_angle_gamma 90.00
_symmetry_space_group_name_H-M 'P 4 m m'
_symmetry_Int_Tables_number 99
loop_
_symmetry_equiv_pos_as_xyz
'x,y,z'
'-y,x,z'
'-x,-y,z'
'y,-x,z'
'-x,y,z'
'y,x,z'
'x,-y,z'
'-y,-x,z'
loop_
_atom_site_label
_atom_site_type_symbol
_atom_site_fract_x
_atom_site_fract_y
_atom_site_fract_z
Sr1 Sr 0.000 0.000 0.000
Sr2 Sr 0.500 0.500 0.346
La1 La 0.500 0.500 0.714
Ta1 Ta 0.000 0.000 0.584
```

Calculated values
* M_tot: 0.000 μB per atom


It comes down to version iii, which is 285 meV per atom more stable than the next structure.


Version i
# Sr2LaTa2

A relaxed structure of Sr2LaTa2 (PBE, Alexandria via LeMat-Bulk).

```
data_Sr2LaTa2
_cell_length_a 4.778
_cell_length_b 4.778
_cell_length_c 14.699
_cell_angle_alpha 90.00
_cell_angle_beta 90.00
_cell_angle_gamma 90.00
_symmetry_space_group_name_H-M 'I 4/m m m'
_symmetry_Int_Tables_number 139
_symmetry_space_group_name_Hall '-I 4 2'
loop_
_atom_site_label
_atom_site_type_symbol
_atom_site_fract_x
_atom_site_fract_y
_atom_site_fract_z
Sr1 Sr 0.000 0.500 0.250
La1 La 0.000 0.000 0.000
Ta1 Ta 0.000 0.000 0.420
```

Calculated values
* M_tot: 0.366 μB per atom


Version ii
# Sr2LaTa2

A relaxed structure of Sr2LaTa2 (PBE, Alexandria via LeMat-Bulk).

```
data_Sr2LaTa2
_cell_length_a 9.429
_cell_length_b 9.429
_cell_length_c 3.626
_cell_angle_alpha 90.00
_cell_angle_beta 90.00
_cell_angle_gamma 90.00
_symmetry_space_group_name_H-M 'P 4/m b m'
_symmetry_Int_Tables_number 127
_symmetry_space_group_name_Hall '-P 4 2ab'
loop_
_atom_site_label
_atom_site_type_symbol
_atom_site_fract_x
_atom_site_fract_y
_atom_site_fract_z
Sr1 Sr 0.197 0.303 0.000
La1 La 0.000 0.000 0.500
Ta1 Ta 0.090 0.590 0.500
```

Calculated values
* M_tot: 0.000 μB per atom


It comes down to version ii, which is 80 meV per atom more stable than the next structure.